TlRe4Se8, relaxed, DFT PBE; DOS(E_F) = 6.15 states/eV per cell; E = -80.4 eV/f.u.; formation energy from raw total energies = -0.34 eV/f.u.
1.0
3.2016 1.8485 9.1316
-3.2016 1.8485 9.1316
0.0000 -3.6969 9.1316
Tl Re Se
1 4 8
Cartesian
0.0000 0.0000 0.0000 Tl
-3.2016 0.0000 13.6975 Re
-1.6008 0.9242 4.5658 Re
1.6008 0.9242 4.5658 Re
0.0000 0.0000 13.6975 Re
0.0000 0.0000 6.3481 Se
-1.5983 -0.9228 15.4647 Se
0.0000 -1.8456 11.9302 Se
-1.5983 0.9228 11.9302 Se
1.5983 -0.9228 15.4647 Se
0.0000 1.8456 15.4647 Se
1.5983 0.9228 11.9302 Se
0.0000 0.0000 21.0469 Se



RbCoSb2, relaxed, DFT PBE; DOS(E_F) = 6.08 states/eV per cell; E = -16.1 eV/f.u.; formation energy from raw total energies = 0.18 eV/f.u.
1.0
-3.0732 3.0732 7.6053
3.0732 -3.0732 7.6053
3.0732 3.0732 -7.6053
Rb Co Sb
2 2 4
Cartesian
3.0732 1.5366 1.9013 Rb
0.0000 1.5366 5.7040 Rb
3.0732 -1.5366 5.7040 Co
0.0000 4.6098 1.9013 Co
0.0000 0.0000 0.0000 Sb
1.5366 1.5366 -3.8027 Sb
1.5366 -1.5366 3.8027 Sb
0.0000 3.0732 0.0000 Sb



KHfNb2, relaxed, DFT PBE; DOS(E_F) = 7.89 states/eV per cell; E = -25.2 eV/f.u.
1.0
-2.1269 2.1269 10.3478
2.1269 -2.1269 10.3478
2.1269 2.1269 -10.3478
K Hf Nb
2 2 4
Cartesian
0.0000 0.0000 0.0000 K
0.0000 2.1269 5.1739 K
2.1269 0.0000 5.1739 Hf
0.0000 0.0000 10.3478 Hf
1.0635 1.2013 -2.5869 Nb
3.0525 1.0635 2.5869 Nb
1.0635 0.9256 7.7608 Nb
-0.9256 1.0635 12.9347 Nb



Mg2ZnW, relaxed, DFT PBE; DOS(E_F) = 1.49 states/eV per cell; E = -16.1 eV/f.u.
1.0
-1.4641 2.3928 4.7827
1.4641 -2.3928 4.7827
1.4641 2.3928 -4.7827
Mg Zn W
2 1 1
Cartesian
0.0000 0.0000 2.2596 Mg
0.0000 0.0000 7.3057 Mg
1.4641 0.0000 0.0000 Zn
0.0000 2.3928 0.0000 W



TmScRuO6, relaxed, DFT PBE; DOS(E_F) = 8.01 states/eV per cell; E = -70.5 eV/f.u.; formation energy from raw total energies = -20.68 eV/f.u.
1.0
5.2507 0.0000 0.0000
-2.6254 4.5473 0.0000
0.0000 0.0000 9.5361
Tm Sc Ru O
2 2 2 12
Cartesian
0.0000 0.0000 0.0000 Tm
0.0000 0.0000 4.7681 Tm
0.0000 3.0315 2.3840 Sc
2.6254 1.5158 7.1521 Sc
0.0000 3.0315 7.1521 Ru
2.6254 1.5158 2.3840 Ru
-0.8274 1.6482 6.0652 O
-1.6117 3.0066 8.2390 O
0.8274 1.6482 8.2390 O
-0.7843 4.4397 6.0652 O
1.8411 0.1076 1.2972 O
1.0137 1.5406 3.4709 O
1.6117 3.0066 6.0652 O
0.7843 4.4397 8.2390 O
3.4097 0.1076 3.4709 O
1.7980 2.8991 1.2972 O
4.2371 1.5406 1.2972 O
3.4528 2.8991 3.4709 O



NaCa2Ga2Sn2, relaxed, DFT PBE; DOS(E_F) = 3.76 states/eV per cell; E = -21.0 eV/f.u.
1.0
2.5021 1.4446 9.1774
-2.5021 1.4446 9.1774
0.0000 -2.8892 9.1774
Na Ca Ga Sn
1 2 2 2
Cartesian
0.0000 0.0000 0.0000 Na
0.0000 0.0000 3.6351 Ca
0.0000 0.0000 23.8971 Ca
0.0000 0.0000 11.9199 Ga
0.0000 0.0000 15.6122 Ga
0.0000 0.0000 7.1548 Sn
0.0000 0.0000 20.3773 Sn



NdY2Ta, relaxed, DFT PBE; DOS(E_F) = 5.63 states/eV per cell; E = -27.0 eV/f.u.
1.0
1.6539 0.9549 11.8895
-1.6539 0.9549 11.8895
0.0000 -1.9097 11.8895
Nd Y Ta
1 2 1
Cartesian
0.0000 0.0000 0.0000 Nd
0.0000 0.0000 14.9069 Y
0.0000 0.0000 20.7616 Y
0.0000 0.0000 17.8342 Ta



RbCaScF6, relaxed, DFT PBE; DOS(E_F) = 0.00 states/eV per cell; E = -53.8 eV/f.u.; formation energy from raw total energies = -33.24 eV/f.u.
1.0
-3.9438 3.9801 5.6265
3.9438 -3.9801 5.6265
3.9438 3.9801 -5.6265
Rb Ca Sc F
2 2 2 12
Cartesian
0.0000 1.9901 1.0861 Rb
3.9438 1.9901 4.5404 Rb
1.9719 1.9901 -2.8132 Ca
1.9719 -1.9901 2.8132 Ca
3.9438 0.0000 0.0000 Sc
0.0000 0.0000 5.6265 Sc
2.4993 -0.2950 1.3806 F
5.3884 -0.2950 1.3806 F
3.9438 -1.9901 3.8826 F
3.9438 1.9901 0.4733 F
2.4993 3.6851 -1.3806 F
1.4446 -0.2950 4.2459 F
2.4993 4.2751 1.3806 F
1.4446 0.2950 7.0071 F
0.0000 1.9901 5.1532 F
0.0000 5.9702 1.7439 F
-1.4446 4.2751 4.2459 F
1.4446 4.2751 4.2459 F



In5Tc, relaxed, DFT PBE; DOS(E_F) = 4.57 states/eV per cell; E = -22.0 eV/f.u.
1.0
2.1026 -7.3275 0.0000
2.1026 7.3275 0.0000
0.0000 0.0000 4.4362
In Tc
5 1
Cartesian
0.0000 0.0000 0.0000 In
2.1026 5.1330 2.2181 In
2.1026 2.3794 0.0000 In
2.1026 -2.3794 0.0000 In
2.1026 -5.1330 2.2181 In
2.1026 0.0000 2.2181 Tc



TmMg2Cd4, relaxed, DFT PBE; DOS(E_F) = 2.30 states/eV per cell; E = -12.2 eV/f.u.
1.0
5.2676 0.0000 0.0000
-0.3014 5.4527 0.0000
-1.7659 -1.1695 5.6038
Tm Mg Cd
1 2 4
Cartesian
0.0000 0.0000 0.0000 Tm
0.5880 2.6346 4.6843 Mg
2.6745 4.1753 2.2971 Mg
-0.0025 2.7411 1.6049 Cd
0.4467 -0.1135 3.3081 Cd
2.6176 1.3715 0.8588 Cd
3.1913 1.5153 3.8763 Cd



Ba3AcSn2O9, relaxed, DFT PBE; DOS(E_F) = 13.34 states/eV per cell; E = -96.8 eV/f.u.; formation energy from raw total energies = -34.32 eV/f.u.
1.0
6.1213 0.0000 0.0000
-3.0606 5.3012 0.0000
0.0000 0.0000 7.8698
Ba Ac Sn O
3 1 2 9
Cartesian
0.0000 0.0000 0.0000 Ba
0.0000 3.5341 5.5708 Ba
3.0606 1.7671 2.2990 Ba
0.0000 0.0000 3.9349 Ac
0.0000 3.5341 1.2492 Sn
3.0606 1.7671 6.6205 Sn
-1.5303 2.6506 0.0000 O
0.0000 1.8321 2.3775 O
-1.4740 4.3851 2.3775 O
1.5867 0.9161 5.4923 O
3.0606 0.0000 0.0000 O
1.5303 2.6506 0.0000 O
1.4740 4.3851 2.3775 O
4.5346 0.9161 5.4923 O
3.0606 3.4691 5.4923 O



Ce4PuHg4, relaxed, DFT PBE; DOS(E_F) = 15.83 states/eV per cell; E = -40.4 eV/f.u.
1.0
-4.4397 4.4397 3.1109
4.4397 -4.4397 3.1109
4.4397 4.4397 -3.1109
Ce Pu Hg
4 1 4
Cartesian
6.3702 0.5070 0.0000 Ce
0.5070 2.5092 0.0000 Ce
3.9327 1.9305 3.1109 Ce
-1.9305 3.9327 3.1109 Ce
0.0000 0.0000 0.0000 Pu
3.7673 2.5078 0.0000 Hg
1.9319 -0.6724 3.1109 Hg
2.5078 5.1121 0.0000 Hg
0.6724 1.9319 3.1109 Hg



YAlRh2, relaxed, DFT PBE; DOS(E_F) = 3.11 states/eV per cell; E = -25.3 eV/f.u.
1.0
1.6307 0.9415 8.2965
-1.6307 0.9415 8.2965
0.0000 -1.8830 8.2965
Y Al Rh
1 1 2
Cartesian
0.0000 0.0000 0.0000 Y
0.0000 0.0000 19.2124 Al
0.0000 0.0000 6.3538 Rh
0.0000 0.0000 12.4823 Rh



CsLiMg2Pt, relaxed, DFT PBE; DOS(E_F) = 3.03 states/eV per cell; E = -13.0 eV/f.u.
1.0
5.2497 0.0000 0.0000
0.0000 5.2497 0.0000
0.0000 0.0000 5.3156
Cs Li Mg Pt
1 1 2 1
Cartesian
0.0000 0.0000 0.0000 Cs
2.6248 2.6248 0.0000 Li
0.0000 2.6248 2.6578 Mg
2.6248 0.0000 2.6578 Mg
2.6248 2.6248 2.6578 Pt



CdCuBiS3, relaxed, DFT PBE; DOS(E_F) = 0.63 states/eV per cell; E = -23.3 eV/f.u.; formation energy from raw total energies = -2.04 eV/f.u.
1.0
8.1653 0.0000 0.0000
0.0000 3.9675 0.0000
-2.5150 0.0000 8.5408
Cd Cu Bi S
2 2 2 6
Cartesian
1.2852 0.9919 0.8329 Cd
4.3651 2.9756 7.7080 Cd
2.4823 2.9756 3.4817 Cu
3.1679 0.9919 5.0592 Cu
-0.0151 0.9919 5.6536 Bi
5.6654 2.9756 2.8872 Bi
-1.2067 2.9756 7.5959 S
0.1124 2.9756 3.7535 S
3.1640 0.9919 2.4914 S
2.4862 2.9756 6.0495 S
5.5379 0.9919 4.7874 S
6.8569 0.9919 0.9449 S



NaCoPt3, relaxed, DFT PBE; DOS(E_F) = 4.36 states/eV per cell; E = -23.7 eV/f.u.
1.0
4.6386 0.0000 0.0000
0.0000 4.6386 0.0000
0.0000 0.0000 4.6386
Na Co Pt
1 1 3
Cartesian
0.0000 0.0000 0.0000 Na
2.3193 2.3193 2.3193 Co
0.0000 2.3193 2.3193 Pt
2.3193 0.0000 2.3193 Pt
2.3193 2.3193 0.0000 Pt



CuPdPtO4, relaxed, DFT PBE; DOS(E_F) = 3.46 states/eV per cell; E = -37.9 eV/f.u.; formation energy from raw total energies = -2.79 eV/f.u.
1.0
-2.9701 3.1019 4.6192
2.9701 -3.1019 4.6192
2.9701 3.1019 -4.6192
Cu Pd Pt O
2 2 2 8
Cartesian
0.0000 1.5510 1.3540 Cu
2.9701 1.5510 3.2652 Cu
1.4850 1.5510 -2.3096 Pd
1.4850 -1.5510 2.3096 Pd
2.9701 0.0000 0.0000 Pt
0.0000 0.0000 4.6192 Pt
2.9701 -0.1228 2.0543 O
2.9701 2.9791 -2.0543 O
1.6027 1.5510 0.0995 O
4.3375 1.5510 0.0995 O
-1.3674 1.5510 4.5198 O
1.3674 1.5510 4.5198 O
0.0000 0.1228 6.6735 O
0.0000 3.2247 2.5649 O



BeIn3P, relaxed, DFT PBE; DOS(E_F) = 2.60 states/eV per cell; E = -15.0 eV/f.u.
1.0
4.8395 0.0000 0.0000
0.0000 4.8395 0.0000
0.0000 0.0000 4.8395
Be In P
1 3 1
Cartesian
0.0000 0.0000 0.0000 Be
0.0000 0.0000 2.4198 In
0.0000 2.4198 0.0000 In
2.4198 0.0000 0.0000 In
2.4198 2.4198 2.4198 P



Nb4Pt, relaxed, DFT PBE; DOS(E_F) = 8.18 states/eV per cell; E = -40.4 eV/f.u.
1.0
4.8602 0.0000 0.0000
0.0000 4.8602 0.0000
0.0000 0.0000 4.8602
Nb Pt
4 1
Cartesian
0.0000 0.0000 0.0000 Nb
0.0000 2.4301 2.4301 Nb
2.4301 0.0000 2.4301 Nb
2.4301 2.4301 0.0000 Nb
2.4301 2.4301 2.4301 Pt



Pm2SbAu6, relaxed, DFT PBE; DOS(E_F) = 4.53 states/eV per cell; E = -38.4 eV/f.u.; formation energy from raw total energies = -5.12 eV/f.u.
1.0
5.4732 -3.3755 0.0000
5.4732 3.3755 0.0000
-0.2704 0.0000 5.4851
Pm Sb Au
2 1 6
Cartesian
1.8083 0.0000 1.7643 Pm
8.8676 0.0000 3.7208 Pm
5.3380 0.0000 2.7425 Sb
4.4114 1.9646 0.9867 Au
6.2645 1.9646 4.4984 Au
3.2577 0.0000 4.5782 Au
7.4182 0.0000 0.9069 Au
4.4114 -1.9646 0.9867 Au
6.2645 -1.9646 4.4984 Au